(1)
20
Lattice="-6.290 2.724 1.282 -5.521 -4.188 0.776 -2.925 -0.785 6.281" Properties=species:S:1:pos:R:3 comment="Co3SnN | the Alexandria database | SCAN | PBEsol geometry" n_ef_per_ev_cell=21.0 e_form_raw_mev_per_atom=49 spacegroup=Fd-3m pbc="T T T"
Co -7.779 -2.589 5.269
Co -11.463 -3.151 7.354
Co -9.361 -1.557 7.059
Co -10.642 -0.221 5.155
Co -11.756 -0.520 7.547
Co -8.071 0.042 5.462
Co -10.349 -2.853 4.963
Co -12.744 -1.815 5.451
Co -6.665 -2.291 2.878
Co -6.958 0.341 3.070
Co -5.677 -0.995 4.974
Co -9.060 -1.253 3.366
Sn -4.987 1.081 1.683
Sn -3.305 -0.673 4.183
Sn -1.842 -0.281 1.042
Sn -4.603 -2.375 1.431
N -6.065 -2.767 4.571
N -7.748 -1.013 2.072
N -9.210 -1.405 5.212
N -6.450 0.689 4.824

(2)
4
Lattice="-1.557 -0.345 2.332 3.057 -4.321 -0.105 2.407 4.508 1.317" Properties=species:S:1:pos:R:3 comment="CuMo2Pb | the Alexandria database | SCAN | PBEsol geometry" delta_e_f_ev_per_fu=2.8 n_ef_per_ev_cell=2.4 spacegroup=C2/m pbc="T T T"
Cu -0.778 -0.173 1.166
Mo 1.954 -0.079 1.772
Mo 1.204 2.254 0.658
Pb 1.528 -2.161 -0.052

(3)
5
Lattice="-3.575 -2.131 -2.708 -0.522 -3.522 3.461 -3.442 2.806 2.335" Properties=species:S:1:pos:R:3 comment="MgAlSeBr2 | the Alexandria database | SCAN | PBEsol geometry" n_ef_per_ev_cell=1.2 e_form_raw_mev_per_atom=-532 spacegroup=P4/mmm pbc="T T T"
Mg -3.770 -1.424 1.544
Se -1.721 1.403 1.168
Br -0.261 -1.761 1.730
Br -1.787 -1.066 -1.354
Al 0.000 0.000 0.000

(4)
4
Lattice="3.363 0.000 0.000 0.000 3.363 0.000 0.000 0.000 4.160" Properties=species:S:1:pos:R:3 comment="Li2BePt | the Alexandria database | SCAN | PBEsol geometry" delta_e_f_ev_per_fu=-2.0 n_ef_per_ev_cell=1.1 spacegroup=P4/mmm pbc="T T T"
Be 0.000 0.000 2.080
Pt 1.681 1.681 2.080
Li 0.000 1.681 0.000
Li 1.681 0.000 0.000

(5)
5
Lattice="-3.456 -0.294 -3.345 2.786 -2.930 -2.621 -1.874 -3.814 2.272" Properties=species:S:1:pos:R:3 comment="NaCaB3 | the Alexandria database | SCAN | PBEsol geometry" delta_e_f_ev_per_fu=11.7 n_ef_per_ev_cell=3.3 spacegroup=Pm-3m pbc="T T T"
Na -1.272 -3.519 -1.847
Ca 0.000 0.000 0.000
B 1.393 -1.465 -1.311
B -0.937 -1.907 1.136
B -1.728 -0.147 -1.672

(6)
4
Lattice="4.068 0.000 0.000 2.034 3.523 0.000 2.034 1.174 3.322" Properties=species:S:1:pos:R:3 comment="BeTcP2 | the Alexandria database | SCAN | PBEsol geometry" delta_e_f_ev_per_fu=1.8 n_ef_per_ev_cell=2.5 spacegroup=F-43m pbc="T T T"
P 0.000 0.000 0.000
P 2.034 1.174 0.830
Tc 6.102 3.523 2.491
Be 4.068 2.349 1.661

(7)
5
Lattice="3.289 0.000 0.000 0.000 5.853 0.000 0.000 0.000 5.853" Properties=species:S:1:pos:R:3 comment="ZnTe2NCl | the Alexandria database | SCAN | PBEsol geometry" n_ef_per_ev_cell=3.6 relative_energy_mev_per_atom=630 e_form_raw_mev_per_atom=1417 spacegroup=P4/mmm pbc="T T T"
N 1.645 0.000 0.000
Zn 1.645 2.926 2.926
Te 0.000 0.000 2.926
Te 0.000 2.926 0.000
Cl 0.000 0.000 0.000

(8)
4
Lattice="2.903 -0.006 0.000 -1.099 2.687 0.000 0.000 0.000 9.006" Properties=species:S:1:pos:R:3 comment="CaZrOs2 | the Alexandria database | SCAN | PBEsol geometry" delta_e_f_ev_per_fu=1.0 n_ef_per_ev_cell=3.1 spacegroup=Cmmm pbc="T T T"
Ca 0.902 1.341 0.000
Os 0.000 0.000 2.383
Os 0.000 0.000 6.623
Zr 0.902 1.341 4.503

(9)
4
Lattice="-2.986 0.303 1.499 1.724 -1.699 3.779 2.844 4.917 0.913" Properties=species:S:1:pos:R:3 comment="Sc2MnPb | the Alexandria database | SCAN | PBEsol geometry" delta_e_f_ev_per_fu=-1.5 n_ef_per_ev_cell=2.2 spacegroup=Amm2 pbc="T T T"
Mn 0.441 2.371 0.865
Pb 1.713 3.062 3.260
Sc 2.597 4.712 0.933
Sc -0.396 0.903 3.251

(10)
4
Lattice="-3.278 0.536 2.750 -2.294 -3.408 1.312 0.346 -1.396 4.065" Properties=species:S:1:pos:R:3 comment="ZrB2Br | the Alexandria database | SCAN | PBEsol geometry" n_ef_per_ev_cell=3.8 e_form_raw_mev_per_atom=1526 spacegroup=Fm-3m pbc="T T T"
B -1.306 -1.067 2.032
B -3.919 -3.201 6.096
Br 0.000 0.000 0.000
Zr -2.613 -2.134 4.064

Copy entry 5 word for word.
5
Lattice="-3.456 -0.294 -3.345 2.786 -2.930 -2.621 -1.874 -3.814 2.272" Properties=species:S:1:pos:R:3 comment="NaCaB3 | the Alexandria database | SCAN | PBEsol geometry" delta_e_f_ev_per_fu=11.7 n_ef_per_ev_cell=3.3 spacegroup=Pm-3m pbc="T T T"
Na -1.272 -3.519 -1.847
Ca 0.000 0.000 0.000
B 1.393 -1.465 -1.311
B -0.937 -1.907 1.136
B -1.728 -0.147 -1.672

> Number 7 is which compound?

ZnTe2NCl